No. 1
## CaBeSiPt2 (PBE)

Data for an optimized crystal structure of CaBeSiPt2.

abc: 4.2685 4.9028 4.2685
angles: 90.00 90.00 90.00
Element x y z (fractional)
Be (0.0000, 0.0000, 0.0000)
Si (0.5000, 0.5000, 0.5000)
Ca (0.0000, 0.5000, 0.0000)
Pt (0.5000, 0.0000, 0.0000)
Pt (0.0000, 0.0000, 0.5000)

Summary:
The value obtained for the electronic total energy is -4.648 eV/atom. Its space group is P4/mmm. For the relative energy among the computed polymorphs, the calculation gives 837 meV/atom. The energy relative to the elements, uncorrected comes out at -0.001 eV/atom.

No. 2
## Ca5Sn2 (PBE)

Data for an optimized crystal structure of Ca5Sn2.

abc: 7.0594 8.1064 9.5813
angles: 115.03 111.62 90.00
Element x y z (fractional)
Sn (0.8772, 0.1128, 0.7543)
Sn (0.1228, 0.8872, 0.2457)
Sn (0.6228, 0.3585, 0.2457)
Sn (0.3772, 0.6415, 0.7543)
Ca (0.0832, 0.2370, 0.1664)
Ca (0.7500, 0.5000, 0.0000)
Ca (0.4168, 0.0705, 0.8336)
Ca (0.9168, 0.7630, 0.8336)
Ca (0.5832, 0.9295, 0.1664)
Ca (0.2500, 0.5000, 0.0000)
Ca (0.5175, 0.2675, 0.5350)
Ca (0.4825, 0.7325, 0.4650)
Ca (0.9825, 0.7325, 0.4650)
Ca (0.0175, 0.2675, 0.5350)

Summary:
The value obtained for the electronic total energy is -3.072 eV/atom. Its space group is Ibam. For the relative energy among the computed polymorphs, the calculation gives 19 meV/atom. The energy relative to the elements is -0.499 eV/atom.

No. 3
## Ca3Bi2Sb (PBE)

Data for an optimized crystal structure of Ca3Bi2Sb.

abc: 9.4476 9.4476 9.4476
angles: 90.00 90.00 90.00
Element x y z (fractional)
Bi (0.1709, 0.8291, 0.3291)
Bi (0.8291, 0.3291, 0.1709)
Bi (0.4209, 0.9209, 0.5791)
Bi (0.9209, 0.5791, 0.4209)
Bi (0.3291, 0.1709, 0.8291)
Bi (0.6709, 0.6709, 0.6709)
Bi (0.0791, 0.0791, 0.0791)
Bi (0.5791, 0.4209, 0.9209)
Sb (0.1250, 0.6250, 0.8750)
Sb (0.6250, 0.8750, 0.1250)
Sb (0.8750, 0.1250, 0.6250)
Sb (0.3750, 0.3750, 0.3750)
Ca (0.8174, 0.9326, 0.3750)
Ca (0.8750, 0.6826, 0.0674)
Ca (0.3750, 0.8174, 0.9326)
Ca (0.4326, 0.1250, 0.1826)
Ca (0.3174, 0.5674, 0.6250)
Ca (0.1250, 0.1826, 0.4326)
Ca (0.9326, 0.3750, 0.8174)
Ca (0.5674, 0.6250, 0.3174)
Ca (0.6250, 0.3174, 0.5674)
Ca (0.6826, 0.0674, 0.8750)
Ca (0.0674, 0.8750, 0.6826)
Ca (0.1826, 0.4326, 0.1250)

Summary:
The value obtained for the electronic total energy is -3.641 eV/atom. Its space group is P4_132. The energy relative to the elements, uncorrected comes out at -0.659 eV/atom.

No. 4
## ScOs2Cl (PBE)

Data for an optimized crystal structure of ScOs2Cl.

abc: 4.3928 4.3928 4.3928
angles: 111.93 111.93 104.65
Element x y z (fractional)
Os (0.0000, 0.0000, 0.0000)
Os (0.2500, 0.7500, 0.5000)
Sc (0.5000, 0.5000, 0.0000)
Cl (0.7500, 0.2500, 0.5000)

Summary:
The value obtained for the electronic total energy is -7.094 eV/atom. Its space group is I-4m2. For the relative energy among the computed polymorphs, the calculation gives 679 meV/atom. The energy relative to the elements, uncorrected comes out at 0.566 eV/atom.

No. 5
## LaErZn2Pd5 (PBE)

Data for an optimized crystal structure of LaErZn2Pd5.

abc: 4.2085 4.2085 9.4214
angles: 90.00 90.00 90.00
Element x y z (fractional)
Pd (0.5000, 0.5000, 0.5000)
Pd (0.5000, 0.0000, 0.2697)
Pd (0.0000, 0.5000, 0.7303)
Pd (0.0000, 0.5000, 0.2697)
Pd (0.5000, 0.0000, 0.7303)
Er (0.0000, 0.0000, 0.0000)
Zn (0.5000, 0.5000, 0.8734)
Zn (0.5000, 0.5000, 0.1266)
La (0.0000, 0.0000, 0.5000)

Summary:
The value obtained for the electronic total energy is -4.881 eV/atom. Its space group is P4/mmm. The energy relative to the elements is -0.659 eV/atom.

No. 6
## Ba4LaPu3O12 (PBE)

Data for an optimized crystal structure of Ba4LaPu3O12.

abc: 7.7109 7.7109 7.7109
angles: 109.47 109.47 109.47
Element x y z (fractional)
Ba (0.5000, 0.0000, 0.0000)
Ba (0.0000, 0.0000, 0.5000)
Ba (0.5000, 0.5000, 0.5000)
Ba (0.0000, 0.5000, 0.0000)
O (0.0000, 0.7373, 0.7373)
O (0.0000, 0.2627, 0.2627)
O (0.5000, 0.2500, 0.7500)
O (0.7500, 0.5000, 0.2500)
O (0.7373, 0.7373, 0.0000)
O (0.2500, 0.7500, 0.5000)
O (0.2627, 0.2627, 0.0000)
O (0.2500, 0.5000, 0.7500)
O (0.2627, 0.0000, 0.2627)
O (0.7373, 0.0000, 0.7373)
O (0.7500, 0.2500, 0.5000)
O (0.5000, 0.7500, 0.2500)
Pu (0.0000, 0.5000, 0.5000)
Pu (0.5000, 0.0000, 0.5000)
Pu (0.5000, 0.5000, 0.0000)
La (0.0000, 0.0000, 0.0000)

Summary:
The value obtained for the electronic total energy is -8.723 eV/atom. Its space group is Im-3m. The energy relative to the elements, uncorrected comes out at -2.967 eV/atom.

No. 7
## PuTiTl2 (PBE)

Data for an optimized crystal structure of PuTiTl2.

abc: 3.1880 3.1880 9.1309
angles: 90.00 90.00 90.00
Element x y z (fractional)
Ti (0.5000, 0.5000, 0.0000)
Tl (0.0000, 0.0000, 0.7741)
Tl (0.0000, 0.0000, 0.2259)
Pu (0.5000, 0.5000, 0.5000)

Summary:
The value obtained for the electronic total energy is -6.664 eV/atom. Its space group is P4/mmm. For the relative energy among the computed polymorphs, the calculation gives 0 meV/atom. The energy relative to the elements is 0.075 eV/atom.

No. 8
## NbTl3Ir (PBE)

Data for an optimized crystal structure of NbTl3Ir.

abc: 5.1850 5.1850 5.1850
angles: 90.00 90.00 90.00
Element x y z (fractional)
Tl (0.0000, 0.0000, 0.5000)
Tl (0.0000, 0.5000, 0.0000)
Tl (0.5000, 0.0000, 0.0000)
Ir (0.0000, 0.0000, 0.0000)
Nb (0.5000, 0.5000, 0.5000)

Summary:
The value obtained for the electronic total energy is -4.046 eV/atom. Its space group is Pm-3m. For the relative energy among the computed polymorphs, the calculation gives 0 meV/atom. The energy relative to the elements is 1.159 eV/atom.

No. 9
## Na8SbTe6 (PBE)

Data for an optimized crystal structure of Na8SbTe6.

abc: 9.3732 8.6990 13.1972
angles: 90.00 90.00 90.00
Element x y z (fractional)
Na (0.6161, 0.5000, 0.4523)
Na (0.5584, 0.2255, 0.1796)
Na (0.4416, 0.2745, 0.6796)
Na (0.4416, 0.7255, 0.6796)
Na (0.0781, 0.7088, 0.6667)
Na (0.3839, 0.0000, 0.9523)
Na (0.0781, 0.2912, 0.6667)
Na (0.7722, 0.2135, 0.8442)
Na (0.7722, 0.7865, 0.8442)
Na (0.9219, 0.2088, 0.1667)
Na (0.9219, 0.7912, 0.1667)
Na (0.5584, 0.7745, 0.1796)
Na (0.2278, 0.7135, 0.3442)
Na (0.2278, 0.2865, 0.3442)
Na (0.7464, 0.5000, 0.0188)
Na (0.2536, 0.0000, 0.5188)
Te (0.4890, 0.0000, 0.3622)
Te (0.7541, 0.5000, 0.2400)
Te (0.7179, 0.0000, 0.0255)
Te (0.9878, 0.5000, 0.8575)
Te (0.7577, 0.2646, 0.6080)
Te (0.2423, 0.7646, 0.1080)
Te (0.2459, 0.0000, 0.7400)
Te (0.2423, 0.2354, 0.1080)
Te (0.7577, 0.7354, 0.6080)
Te (0.0122, 0.0000, 0.3575)
Te (0.2821, 0.5000, 0.5255)
Te (0.5110, 0.5000, 0.8622)
Sb (0.2479, 0.5000, 0.9829)
Sb (0.7521, 0.0000, 0.4829)

Summary:
The value obtained for the electronic total energy is -2.925 eV/atom. Its space group is Pmn2_1. The energy relative to the elements, uncorrected comes out at -0.690 eV/atom.

No. 10
## MgH2O2 (PBE)

Data for an optimized crystal structure of MgH2O2.

abc: 3.1848 3.1849 4.7745
angles: 90.00 90.00 120.00
Element x y z (fractional)
H (0.6667, 0.3333, 0.5779)
H (0.3333, 0.6667, 0.4221)
O (0.6667, 0.3333, 0.7814)
O (0.3333, 0.6667, 0.2186)
Mg (0.0000, 0.0000, 0.0000)

Summary:
The value obtained for the electronic total energy is -5.389 eV/atom. Its space group is P-3m1.

No. 11
## Sc2RhBr (PBE)

Data for an optimized crystal structure of Sc2RhBr.

abc: 9.4152 9.4152 9.4152
angles: 19.82 19.82 19.82
Element x y z (fractional)
Rh (0.0000, 0.0000, 0.0000)
Sc (0.0857, 0.0857, 0.0857)
Sc (0.9143, 0.9143, 0.9143)
Br (0.5000, 0.5000, 0.5000)

Summary:
The value obtained for the electronic total energy is -5.664 eV/atom. Its space group is R-3m. For the relative energy among the computed polymorphs, the calculation gives 684 meV/atom. The energy relative to the elements, uncorrected comes out at -0.242 eV/atom.

No. 12
## Mg3BeO4 (PBE)

Data for an optimized crystal structure of Mg3BeO4.

abc: 4.9208 5.4908 6.3447
angles: 90.00 90.00 90.00
Element x y z (fractional)
Be (0.4995, 0.8278, 0.5000)
Be (0.9995, 0.1722, 0.0000)
O (0.6049, 0.6814, 0.7252)
O (0.1049, 0.3186, 0.7748)
O (0.6633, 0.1798, 0.0000)
O (0.1633, 0.8202, 0.5000)
O (0.6049, 0.6814, 0.2748)
O (0.6039, 0.1238, 0.5000)
O (0.1039, 0.8762, 0.0000)
O (0.1049, 0.3186, 0.2252)
Mg (0.5127, 0.3285, 0.7477)
Mg (0.0127, 0.6715, 0.7523)
Mg (0.0133, 0.1495, 0.5000)
Mg (0.5133, 0.8505, 0.0000)
Mg (0.5127, 0.3285, 0.2523)
Mg (0.0127, 0.6715, 0.2477)

Summary:
The value obtained for the electronic total energy is -6.163 eV/atom. Its space group is Pmn2_1. The energy relative to the elements, uncorrected comes out at -2.620 eV/atom.

No. 13
## CaCr2Cl (PBE)

Data for an optimized crystal structure of CaCr2Cl.

abc: 3.3586 3.3586 8.5026
angles: 90.00 90.00 90.00
Element x y z (fractional)
Cr (0.5000, 0.5000, 0.2159)
Cr (0.0000, 0.0000, 0.1245)
Cl (0.5000, 0.5000, 0.6652)
Ca (0.0000, 0.0000, 0.4944)

Summary:
The value obtained for the electronic total energy is -5.921 eV/atom. Its space group is P4mm. For the relative energy among the computed polymorphs, the calculation gives 3 meV/atom. The energy relative to the elements, uncorrected comes out at -0.147 eV/atom.

No. 14
## Pu5Bi3O (PBE)

Data for an optimized crystal structure of Pu5Bi3O.

abc: 6.2010 9.3946 9.3946
angles: 120.00 90.00 90.00
Element x y z (fractional)
Pu (0.2500, 0.2174, 0.0000)
Pu (0.2500, 0.7826, 0.7826)
Pu (0.5000, 0.3333, 0.6667)
Pu (0.7500, 0.7826, 0.0000)
Pu (0.2500, 0.0000, 0.2174)
Pu (0.0000, 0.6667, 0.3333)
Pu (0.7500, 0.2174, 0.2174)
Pu (0.0000, 0.3333, 0.6667)
Pu (0.5000, 0.6667, 0.3333)
Pu (0.7500, 0.0000, 0.7826)
Bi (0.7500, 0.3933, 0.0000)
Bi (0.7500, 0.6067, 0.6067)
Bi (0.7500, 0.0000, 0.3933)
Bi (0.2500, 0.0000, 0.6067)
Bi (0.2500, 0.6067, 0.0000)
Bi (0.2500, 0.3933, 0.3933)
O (0.0000, 0.0000, 0.0000)
O (0.5000, 0.0000, 0.0000)

Summary:
The value obtained for the electronic total energy is -10.661 eV/atom. Its space group is P6_3/mcm. The energy relative to the elements, uncorrected comes out at -0.854 eV/atom.

No. 15
## Rb2AgICl3 (PBE)

Data for an optimized crystal structure of Rb2AgICl3.

abc: 5.5228 5.2538 9.3385
angles: 106.34 107.20 90.00
Element x y z (fractional)
Ag (0.0000, 0.0000, 0.0000)
Cl (0.0000, 0.5000, 0.0000)
Cl (0.1593, 0.1593, 0.3186)
Cl (0.8407, 0.8407, 0.6814)
Rb (0.6504, 0.6504, 0.3008)
Rb (0.3496, 0.3496, 0.6992)
I (0.5000, 0.0000, 0.0000)

Summary:
The value obtained for the electronic total energy is -2.851 eV/atom. Its space group is Immm. The energy relative to the elements, uncorrected comes out at -1.154 eV/atom.

No. 16
## RbZrBS4 (PBE)

Data for an optimized crystal structure of RbZrBS4.

abc: 5.9002 6.3389 8.9726
angles: 90.00 109.25 90.00
Element x y z (fractional)
S (0.4224, 0.7500, 0.5591)
S (0.5776, 0.2500, 0.4409)
S (0.9996, 0.4917, 0.6922)
S (0.9996, 0.0083, 0.6922)
S (0.4023, 0.7500, 0.2030)
S (0.0004, 0.5083, 0.3078)
S (0.0004, 0.9917, 0.3078)
S (0.5977, 0.2500, 0.7970)
Rb (0.2778, 0.2500, 0.0618)
Rb (0.7222, 0.7500, 0.9382)
B (0.2162, 0.7500, 0.3428)
B (0.7837, 0.2500, 0.6572)
Zr (0.7736, 0.7500, 0.4517)
Zr (0.2264, 0.2500, 0.5483)

Summary:
The value obtained for the electronic total energy is -5.789 eV/atom. Its space group is P2_1/m. The energy relative to the elements, uncorrected comes out at -1.117 eV/atom.

No. 17
## Ce3Dy2TmP6 (PBE)

Data for an optimized crystal structure of Ce3Dy2TmP6.

abc: 6.9978 6.9978 6.9787
angles: 99.62 99.62 120.01
Element x y z (fractional)
Ce (0.8329, 0.1671, 0.5000)
Ce (0.5000, 0.5000, 0.5000)
Ce (0.1671, 0.8329, 0.5000)
P (0.9183, 0.5870, 0.7546)
P (0.5870, 0.9183, 0.7546)
P (0.4130, 0.0817, 0.2454)
P (0.7508, 0.7508, 0.2459)
P (0.2492, 0.2492, 0.7541)
P (0.0817, 0.4130, 0.2454)
Tm (0.0000, 0.0000, 0.0000)
Dy (0.6665, 0.3335, 0.0000)
Dy (0.3335, 0.6665, 0.0000)

Summary:
The value obtained for the electronic total energy is -6.884 eV/atom. Its space group is C2/m. The energy relative to the elements is -1.556 eV/atom.

No. 18
## YTiP2O (PBE)

Data for an optimized crystal structure of YTiP2O.

abc: 5.2240 5.2240 4.0936
angles: 90.00 90.00 90.00
Element x y z (fractional)
P (0.0000, 0.5000, 0.0000)
P (0.5000, 0.0000, 0.0000)
O (0.0000, 0.0000, 0.5000)
Ti (0.5000, 0.5000, 0.5000)
Y (0.0000, 0.0000, 0.0000)

Summary:
The value obtained for the electronic total energy is -6.064 eV/atom. Its space group is P4/mmm. For the relative energy among the computed polymorphs, the calculation gives 1244 meV/atom. The energy relative to the elements, uncorrected comes out at -0.036 eV/atom.

No. 19
## La6OsCl8 (PBE)

Data for an optimized crystal structure of La6OsCl8.

abc: 7.5845 7.5845 10.5040
angles: 68.84 68.84 60.00
Element x y z (fractional)
Cl (0.5363, 0.8904, 0.3345)
Cl (0.4637, 0.1096, 0.6655)
Cl (0.2388, 0.5363, 0.3345)
Cl (0.7612, 0.4637, 0.6655)
Cl (0.3332, 0.3332, 0.0004)
Cl (0.1096, 0.7612, 0.6655)
Cl (0.6668, 0.6668, 0.9996)
Cl (0.8904, 0.2388, 0.3345)
La (0.9394, 0.6449, 0.1780)
La (0.0606, 0.3551, 0.8220)
La (0.2377, 0.9394, 0.1780)
La (0.6449, 0.2377, 0.1780)
La (0.7623, 0.0606, 0.8220)
La (0.3551, 0.7623, 0.8220)
Os (0.0000, 0.0000, 0.0000)

Summary:
The value obtained for the electronic total energy is -5.460 eV/atom. Its space group is R-3. The energy relative to the elements, uncorrected comes out at -1.755 eV/atom.

No. 20
## Ac2AsRh (PBE)

Data for an optimized crystal structure of Ac2AsRh.

abc: 4.4290 4.4290 7.7207
angles: 73.33 73.33 60.00
Element x y z (fractional)
Ac (0.7457, 0.7457, 0.7628)
Ac (0.2543, 0.2543, 0.2372)
As (0.5000, 0.5000, 0.5000)
Rh (0.0000, 0.0000, 0.0000)

Summary:
The value obtained for the electronic total energy is -6.001 eV/atom. Its space group is R-3m. For the relative energy among the computed polymorphs, the calculation gives 38 meV/atom. The energy relative to the elements is -0.946 eV/atom.

No. 21
## Mg2Al3 (PBE)

Data for an optimized crystal structure of Mg2Al3.

abc: 10.6259 10.6259 10.6259
angles: 144.54 144.54 51.01
Element x y z (fractional)
Al (0.6575, 0.4465, 0.2110)
Al (0.3750, 0.1250, 0.2500)
Al (0.1965, 0.9075, 0.7110)
Al (0.5535, 0.7645, 0.2110)
Al (0.2355, 0.4465, 0.7890)
Al (0.8750, 0.1250, 0.2500)
Al (0.1965, 0.4855, 0.2890)
Al (0.5535, 0.3425, 0.7890)
Al (0.0925, 0.8035, 0.2890)
Al (0.5145, 0.8035, 0.7110)
Al (0.8750, 0.1250, 0.7500)
Al (0.8750, 0.6250, 0.7500)
Mg (0.6809, 0.9578, 0.7230)
Mg (0.5152, 0.2922, 0.2230)
Mg (0.0422, 0.3191, 0.2770)
Mg (0.7078, 0.9309, 0.2230)
Mg (0.7078, 0.4848, 0.7770)
Mg (0.2348, 0.9578, 0.2770)
Mg (0.0422, 0.7652, 0.7230)
Mg (0.0691, 0.2922, 0.7770)

Summary:
The value obtained for the electronic total energy is -2.791 eV/atom. Its space group is I4_1/amd. For the relative energy among the computed polymorphs, the calculation gives 51 meV/atom. The energy relative to the elements is 0.092 eV/atom.